Here is a relaxed LiCaPrGd crystal from the Alexandria database. Energies are from GGA-PBE.

Lattice parameters (Å, degrees): 5.7013 5.7013 5.7013 60.00 60.00 60.00
Closest atoms and distances in Å follow each position.
Sites, in units of the cell vectors:
Ca  0.2500  0.2500  0.2500  4 Gd 3.49, 4 Li 3.49
Pr  0.7500  0.7500  0.7500  4 Gd 3.49, 4 Li 3.49
Gd  0.5000  0.5000  0.5000  4 Pr 3.49, 4 Ca 3.49
Li  0.0000  0.0000  0.0000  4 Ca 3.49, 4 Pr 3.49

Values from the calculation:
DOS at the Fermi energy in states/eV/cell: 4.9
E_tot in eV/atom: -5.494

Here is a relaxed LiCaGdPt crystal from the Alexandria database. Energies are from GGA-PBE.

Lattice parameters (Å, degrees): 5.0248 5.0248 5.0248 60.00 60.00 60.00
Closest atoms and distances in Å follow each position.
Sites, in units of the cell vectors:
Pt  0.7500  0.7500  0.7500  4 Gd 3.08, 4 Ca 3.08
Li  0.2500  0.2500  0.2500  4 Gd 3.08, 4 Ca 3.08
Ca  0.5000  0.5000  0.5000  4 Pt 3.08, 4 Li 3.08
Gd  0.0000  0.0000  0.0000  4 Li 3.08, 4 Pt 3.08

Values from the calculation:
DOS at the Fermi energy in states/eV/cell: 3.2
E_tot in eV/atom: -6.585

Here is a relaxed LiCaGdRu crystal from the Alexandria database. Energies are from GGA-PBE.

Lattice parameters (Å, degrees): 4.9794 4.9794 4.9794 60.00 60.00 60.00
Closest atoms and distances in Å follow each position.
Sites, in units of the cell vectors:
Gd  0.5000  0.5000  0.5000  4 Li 3.05, 4 Ru 3.05
Ca  0.0000  0.0000  0.0000  4 Li 3.05, 4 Ru 3.05
Li  0.7500  0.7500  0.7500  4 Gd 3.05, 4 Ca 3.05
Ru  0.2500  0.2500  0.2500  4 Gd 3.05, 4 Ca 3.05

Values from the calculation:
DOS at the Fermi energy in states/eV/cell: 2.5
E_tot in eV/atom: -6.856

Here is a relaxed LiCaGdSi crystal from the Alexandria database. Energies are from GGA-PBE.

Lattice parameters (Å, degrees): 5.0699 5.0699 5.0699 60.00 60.00 60.00
Closest atoms and distances in Å follow each position.
Sites, in units of the cell vectors:
Si  0.2500  0.2500  0.2500  4 Gd 3.10, 4 Ca 3.10
Li  0.7500  0.7500  0.7500  4 Ca 3.10, 4 Gd 3.10
Ca  0.0000  0.0000  0.0000  4 Si 3.10, 4 Li 3.10
Gd  0.5000  0.5000  0.5000  4 Li 3.10, 4 Si 3.10

Values from the calculation:
DOS at the Fermi energy in states/eV/cell: 3.2
E_tot in eV/atom: -6.151